Density functional theory data (PBE-GGA) for SrIrOsO6 after structural relaxation.

DFT total energy in eV per cell: -126.12
Uncorrected formation energy in kJ per mole of atoms: -123.7
Size of the total moment in μB/atom: 0.000
DOS at the Fermi energy in states/eV/cell: 7.71
Space group: Imma

Unit cell a=7.1131 b=7.1131 c=7.1131 alpha=122.22 beta=118.88 gamma=89.07
Last column: nearest neighbours and their distance in Å.
Fractional positions:
Sr 0.3519 0.1019 0.2500  5 O 2.64-2.88
Sr 0.6481 0.8981 0.7500  5 O 2.64-2.88
Ir 0.0000 0.0000 0.5000  6 O 1.95-2.03
Ir 0.0000 0.5000 0.0000  6 O 1.95-2.03
Os 0.0000 0.5000 0.5000  6 O 1.84-1.94
Os 0.5000 0.5000 0.0000  6 O 1.84-1.94
O 0.0919 0.8419 0.2500  2 Ir 1.95
O 0.1023 0.4271 0.2682  1 Os 1.94, 1 Ir 2.03
O 0.1023 0.8341 0.6752  1 Os 1.94, 1 Ir 2.03
O 0.2833 0.5333 0.7500  2 Os 1.84
O 0.3411 0.1659 0.7682  1 Os 1.94, 1 Ir 2.03
O 0.3411 0.5729 0.1752  1 Os 1.94, 1 Ir 2.03
O 0.6589 0.4271 0.8248  1 Os 1.94, 1 Ir 2.03
O 0.6589 0.8341 0.2318  1 Os 1.94, 1 Ir 2.03
O 0.7167 0.4667 0.2500  2 Os 1.84
O 0.8977 0.1659 0.3248  1 Os 1.94, 1 Ir 2.03
O 0.8977 0.5729 0.7318  1 Os 1.94, 1 Ir 2.03
O 0.9081 0.1581 0.7500  2 Ir 1.95

Density functional theory data (PBE-GGA) for TlIrOs2O8 after structural relaxation.

DFT total energy in eV per cell: -82.23
Uncorrected formation energy in kJ per mole of atoms: -71.4
Size of the total moment in μB/atom: 0.103
DOS at the Fermi energy in states/eV/cell: 7.41
Space group: C2/m

Unit cell a=5.0084 b=5.0084 c=8.4301 alpha=94.92 beta=94.92 gamma=72.32
Last column: nearest neighbours and their distance in Å.
Fractional positions:
Tl 0.0000 0.0000 0.0000  6 O 2.80-3.07
Ir 0.0000 0.0000 0.5000  6 O 1.96-2.06
Os 0.3908 0.3908 0.7095  4 O 1.76-1.86
Os 0.6092 0.6092 0.2905  4 O 1.76-1.86
O 0.2338 0.7536 0.3224  1 Os 1.83
O 0.2443 0.2443 0.5243  1 Os 1.86, 1 Ir 1.96
O 0.2464 0.7662 0.6776  1 Os 1.83
O 0.3190 0.3190 0.8998  1 Os 1.76
O 0.6810 0.6810 0.1002  1 Os 1.76
O 0.7536 0.2338 0.3224  1 Os 1.83
O 0.7557 0.7557 0.4757  1 Os 1.86, 1 Ir 1.96
O 0.7662 0.2464 0.6776  1 Os 1.83

Density functional theory data (PBE-GGA) for TlIrOsO6 after structural relaxation.

DFT total energy in eV per cell: -119.88
Uncorrected formation energy in kJ per mole of atoms: -82.9
Size of the total moment in μB/atom: 0.000
DOS at the Fermi energy in states/eV/cell: 9.14
Space group: Imma

Unit cell a=7.2124 b=7.2124 c=7.2124 alpha=120.75 beta=119.44 gamma=89.84
Last column: nearest neighbours and their distance in Å.
Fractional positions:
Tl 0.3533 0.1033 0.2500  5 O 2.83-3.12
Tl 0.6467 0.8967 0.7500  5 O 2.83-3.12
Ir 0.0000 0.0000 0.5000  6 O 1.95-1.97
Ir 0.0000 0.5000 0.0000  6 O 1.95-1.97
Os 0.0000 0.5000 0.5000  6 O 1.90-1.92
Os 0.5000 0.5000 0.0000  6 O 1.90-1.92
O 0.0711 0.4330 0.2562  1 Os 1.90, 1 Ir 1.97
O 0.0711 0.8149 0.6382  1 Os 1.90, 1 Ir 1.97
O 0.0767 0.8267 0.2500  2 Ir 1.95
O 0.3089 0.5589 0.7500  2 Os 1.92
O 0.3232 0.1851 0.7562  1 Os 1.90, 1 Ir 1.97
O 0.3232 0.5670 0.1382  1 Os 1.90, 1 Ir 1.97
O 0.6768 0.4330 0.8618  1 Os 1.90, 1 Ir 1.97
O 0.6768 0.8149 0.2438  1 Os 1.90, 1 Ir 1.97
O 0.6911 0.4411 0.2500  2 Os 1.92
O 0.9233 0.1733 0.7500  2 Ir 1.95
O 0.9289 0.1851 0.3618  1 Os 1.90, 1 Ir 1.97
O 0.9289 0.5670 0.7438  1 Os 1.90, 1 Ir 1.97

Density functional theory data (PBE-GGA) for PIrO6 after structural relaxation.

DFT total energy in eV per cell: -51.22
Uncorrected formation energy in kJ per mole of atoms: -86.8
Size of the total moment in μB/atom: 0.000
DOS at the Fermi energy in states/eV/cell: 3.31
Space group: R-3

Unit cell a=4.9184 b=4.9184 c=4.9184 alpha=57.14 beta=57.14 gamma=57.14
Last column: nearest neighbours and their distance in Å.
Fractional positions:
P 0.0000 0.0000 0.0000  6 O 1.69
Ir 0.5000 0.5000 0.5000  6 O 1.92
O 0.1050 0.3595 0.7714  1 P 1.69
O 0.2286 0.8950 0.6405  1 P 1.69
O 0.3595 0.7714 0.1050  1 P 1.69
O 0.6405 0.2286 0.8950  1 P 1.69
O 0.7714 0.1050 0.3595  1 P 1.69
O 0.8950 0.6405 0.2286  1 P 1.69

Density functional theory data (PBE-GGA) for P2IrO2 after structural relaxation.

DFT total energy in eV per cell: -26.06
Uncorrected formation energy in kJ per mole of atoms: 68.2
Size of the total moment in μB/atom: 0.000
E above lowest polymorph in eV/f.u.: 4.58
DOS at the Fermi energy in states/eV/cell: 3.63
Space group: P4/mmm

Unit cell a=4.0273 b=4.0273 c=3.6241 alpha=90.00 beta=90.00 gamma=90.00
Last column: nearest neighbours and their distance in Å.
Fractional positions:
P 0.0000 0.5000 0.0000  2 O 2.01
P 0.5000 0.0000 0.0000  2 O 2.01
Ir 0.0000 0.0000 0.5000  8 P 2.71, 4 O 2.85
O 0.5000 0.5000 0.0000  2 O 1.81, 4 P 2.01
O 0.5000 0.5000 0.5000  2 O 1.81

Density functional theory data (PBE-GGA) for P2IrO8 after structural relaxation.

DFT total energy in eV per cell: -73.99
Uncorrected formation energy in kJ per mole of atoms: -128.4
Size of the total moment in μB/atom: 0.000
DOS at the Fermi energy in states/eV/cell: 3.95
Space group: C2/m

Unit cell a=6.2032 b=6.2032 c=4.6801 alpha=94.89 beta=94.89 gamma=87.76
Last column: nearest neighbours and their distance in Å.
Fractional positions:
P 0.2120 0.2120 0.1355  4 O 1.47-1.61
P 0.7880 0.7880 0.8645  4 O 1.47-1.61
Ir 0.0000 0.0000 0.5000  6 O 1.92-2.00
O 0.0179 0.7423 0.7301  1 P 1.61
O 0.1657 0.1657 0.8009  1 P 1.57
O 0.2577 0.9821 0.2699  1 P 1.61
O 0.3769 0.3769 0.2094  1 P 1.47
O 0.6231 0.6231 0.7906  1 P 1.47
O 0.7423 0.0179 0.7301  1 P 1.61
O 0.8343 0.8343 0.1991  1 P 1.57
O 0.9821 0.2577 0.2699  1 P 1.61

Density functional theory data (PBE-GGA) for P2IrO2 after structural relaxation.

DFT total energy in eV per cell: -26.29
Uncorrected formation energy in kJ per mole of atoms: 63.9
Size of the total moment in μB/atom: 0.000
E above lowest polymorph in eV/f.u.: 4.36
DOS at the Fermi energy in states/eV/cell: 4.48
Space group: P4/mmm

Unit cell a=4.6918 b=4.6918 c=3.6850 alpha=90.00 beta=90.00 gamma=90.00
Last column: nearest neighbours and their distance in Å.
Fractional positions:
P 0.0000 0.5000 0.0000  2 Ir 2.35
P 0.5000 0.0000 0.0000  2 Ir 2.35
Ir 0.0000 0.0000 0.0000  2 O 1.84
O 0.0000 0.0000 0.5000  2 Ir 1.84
O 0.5000 0.5000 0.5000  8 P 2.98, 4 O 3.32

Density functional theory data (PBE-GGA) for P3IrO after structural relaxation.

DFT total energy in eV per cell: -27.27
Uncorrected formation energy in kJ per mole of atoms: 53.7
Size of the total moment in μB/atom: 0.000
E above lowest polymorph in eV/f.u.: 0.00
DOS at the Fermi energy in states/eV/cell: 1.16
Space group: Pm-3m

Unit cell a=4.0553 b=4.0553 c=4.0553 alpha=90.00 beta=90.00 gamma=90.00
Last column: nearest neighbours and their distance in Å.
Fractional positions:
P 0.0000 0.0000 0.5000  2 O 2.03
P 0.0000 0.5000 0.0000  2 O 2.03
P 0.5000 0.0000 0.0000  2 O 2.03
Ir 0.5000 0.5000 0.5000  12 P 2.87
O 0.0000 0.0000 0.0000  6 P 2.03

Density functional theory data (PBE-GGA) for P3IrO after structural relaxation.

DFT total energy in eV per cell: -24.34
Uncorrected formation energy in kJ per mole of atoms: 110.2
Size of the total moment in μB/atom: 0.298
E above lowest polymorph in eV/f.u.: 2.93
DOS at the Fermi energy in states/eV/cell: 6.49
Space group: Pm-3m

Unit cell a=4.5935 b=4.5935 c=4.5935 alpha=90.00 beta=90.00 gamma=90.00
Last column: nearest neighbours and their distance in Å.
Fractional positions:
P 0.0000 0.0000 0.5000  2 Ir 2.30
P 0.0000 0.5000 0.0000  2 Ir 2.30
P 0.5000 0.0000 0.0000  2 Ir 2.30
Ir 0.0000 0.0000 0.0000  6 P 2.30
O 0.5000 0.5000 0.5000  12 P 3.25

Density functional theory data (PBE-GGA) for P2IrO2 after structural relaxation.

DFT total energy in eV per cell: -30.64
Uncorrected formation energy in kJ per mole of atoms: -20.2
Size of the total moment in μB/atom: 0.000
E above lowest polymorph in eV/f.u.: 0.00
DOS at the Fermi energy in states/eV/cell: 2.35
Space group: P4/mmm

Unit cell a=3.3115 b=3.3115 c=6.9749 alpha=90.00 beta=90.00 gamma=90.00
Last column: nearest neighbours and their distance in Å.
Fractional positions:
P 0.0000 0.0000 0.0000  4 Ir 2.34
P 0.0000 0.0000 0.5000  4 O 1.66
Ir 0.5000 0.5000 0.0000  4 P 2.34
O 0.0000 0.5000 0.5000  2 P 1.66
O 0.5000 0.0000 0.5000  2 P 1.66

Density functional theory data (PBE-GGA) for PIr3O after structural relaxation.

DFT total energy in eV per cell: -31.64
Uncorrected formation energy in kJ per mole of atoms: 102.4
Size of the total moment in μB/atom: 0.000
E above lowest polymorph in eV/f.u.: 0.00
DOS at the Fermi energy in states/eV/cell: 6.05
Space group: Pm-3m

Unit cell a=4.1507 b=4.1507 c=4.1507 alpha=90.00 beta=90.00 gamma=90.00
Last column: nearest neighbours and their distance in Å.
Fractional positions:
P 0.0000 0.0000 0.0000  12 Ir 2.94
Ir 0.0000 0.5000 0.5000  2 O 2.08
Ir 0.5000 0.0000 0.5000  2 O 2.08
Ir 0.5000 0.5000 0.0000  2 O 2.08
O 0.5000 0.5000 0.5000  6 Ir 2.08

Density functional theory data (PBE-GGA) for P2IrO2 after structural relaxation.

DFT total energy in eV per cell: -29.21
Uncorrected formation energy in kJ per mole of atoms: 7.5
Size of the total moment in μB/atom: 0.088
E above lowest polymorph in eV/f.u.: 1.43
DOS at the Fermi energy in states/eV/cell: 4.04
Space group: P4/mmm

Unit cell a=3.6901 b=3.6901 c=5.5697 alpha=90.00 beta=90.00 gamma=90.00
Last column: nearest neighbours and their distance in Å.
Fractional positions:
P 0.0000 0.0000 0.0000  4 P 2.61, 2 Ir 2.78
P 0.5000 0.5000 0.0000  4 P 2.61
Ir 0.0000 0.0000 0.5000  4 O 1.85
O 0.0000 0.5000 0.5000  2 Ir 1.85
O 0.5000 0.0000 0.5000  2 Ir 1.85

Density functional theory data (PBE-GGA) for PaPIrO after structural relaxation.

DFT total energy in eV per cell: -72.90
Uncorrected formation energy in kJ per mole of atoms: -186.3
Size of the total moment in μB/atom: 0.000
DOS at the Fermi energy in states/eV/cell: 4.88
Space group: P4/nmm

Unit cell a=3.8813 b=3.8813 c=8.0274 alpha=90.00 beta=90.00 gamma=90.00
Last column: nearest neighbours and their distance in Å.
Fractional positions:
Pa 0.2500 0.2500 0.1699  4 O 2.37
Pa 0.7500 0.7500 0.8301  4 O 2.37
P 0.2500 0.2500 0.6788  4 Ir 2.41
P 0.7500 0.7500 0.3212  4 Ir 2.41
Ir 0.2500 0.7500 0.5000  4 P 2.41
Ir 0.7500 0.2500 0.5000  4 P 2.41
O 0.2500 0.7500 0.0000  4 Pa 2.37
O 0.7500 0.2500 0.0000  4 Pa 2.37

Density functional theory data (PBE-GGA) for P2IrPbO8 after structural relaxation.

DFT total energy in eV per cell: -82.66
Uncorrected formation energy in kJ per mole of atoms: -157.6
Size of the total moment in μB/atom: 0.086
DOS at the Fermi energy in states/eV/cell: 2.75
Space group: R-3

Unit cell a=8.0543 b=8.0543 c=8.0543 alpha=34.73 beta=34.73 gamma=34.73
Last column: nearest neighbours and their distance in Å.
Fractional positions:
P 0.2415 0.2415 0.2415  4 O 1.54-1.56
P 0.7585 0.7585 0.7585  4 O 1.54-1.56
Ir 0.5000 0.5000 0.5000  6 O 2.01
Pb 0.0000 0.0000 0.0000  12 O 2.83-3.09
O 0.0977 0.7611 0.4803  1 P 1.56
O 0.2389 0.5197 0.9023  1 P 1.56
O 0.3092 0.3092 0.3092  1 P 1.54
O 0.4803 0.0977 0.7611  1 P 1.56
O 0.5197 0.9023 0.2389  1 P 1.56
O 0.6908 0.6908 0.6908  1 P 1.54
O 0.7611 0.4803 0.0977  1 P 1.56
O 0.9023 0.2389 0.5197  1 P 1.56

Density functional theory data (PBE-GGA) for PIrPbO2 after structural relaxation.

DFT total energy in eV per cell: -23.61
Uncorrected formation energy in kJ per mole of atoms: 82.6
Size of the total moment in μB/atom: 0.341
E above lowest polymorph in eV/f.u.: 5.24
DOS at the Fermi energy in states/eV/cell: 5.30
Space group: P4/mmm

Unit cell a=3.9416 b=3.9416 c=6.1854 alpha=90.00 beta=90.00 gamma=90.00
Last column: nearest neighbours and their distance in Å.
Fractional positions:
P 0.0000 0.0000 0.0000  4 Ir 2.79, 2 Pb 3.09
Ir 0.5000 0.5000 0.0000  4 P 2.79
Pb 0.0000 0.0000 0.5000  4 O 1.97
O 0.0000 0.5000 0.5000  2 Pb 1.97
O 0.5000 0.0000 0.5000  2 Pb 1.97

Density functional theory data (PBE-GGA) for PIrPbO2 after structural relaxation.

DFT total energy in eV per cell: -28.27
Uncorrected formation energy in kJ per mole of atoms: -7.2
Size of the total moment in μB/atom: 0.000
E above lowest polymorph in eV/f.u.: 0.59
DOS at the Fermi energy in states/eV/cell: 2.54
Space group: P4/mmm

Unit cell a=3.7665 b=3.7665 c=6.8936 alpha=90.00 beta=90.00 gamma=90.00
Last column: nearest neighbours and their distance in Å.
Fractional positions:
P 0.0000 0.0000 0.0000  4 Pb 2.66
Ir 0.5000 0.5000 0.5000  4 O 1.88
Pb 0.5000 0.5000 0.0000  4 P 2.66
O 0.0000 0.5000 0.5000  2 Ir 1.88
O 0.5000 0.0000 0.5000  2 Ir 1.88

Density functional theory data (PBE-GGA) for PIrPbO2 after structural relaxation.

DFT total energy in eV per cell: -28.86
Uncorrected formation energy in kJ per mole of atoms: -18.6
Size of the total moment in μB/atom: 0.000
E above lowest polymorph in eV/f.u.: 0.00
DOS at the Fermi energy in states/eV/cell: 2.49
Space group: P4/mmm

Unit cell a=3.9518 b=3.9518 c=5.0270 alpha=90.00 beta=90.00 gamma=90.00
Last column: nearest neighbours and their distance in Å.
Fractional positions:
P 0.0000 0.0000 0.0000  2 Ir 2.51, 4 Pb 2.79
Ir 0.0000 0.0000 0.5000  4 O 1.98
Pb 0.5000 0.5000 0.0000  4 P 2.79
O 0.0000 0.5000 0.5000  2 Ir 1.98
O 0.5000 0.0000 0.5000  2 Ir 1.98

Density functional theory data (PBE-GGA) for P2IrPdO after structural relaxation.

DFT total energy in eV per cell: -25.39
Uncorrected formation energy in kJ per mole of atoms: 85.7
Size of the total moment in μB/atom: 0.000
E above lowest polymorph in eV/f.u.: 2.98
DOS at the Fermi energy in states/eV/cell: 6.40
Space group: P4/mmm

Unit cell a=4.6846 b=4.6846 c=3.6770 alpha=90.00 beta=90.00 gamma=90.00
Last column: nearest neighbours and their distance in Å.
Fractional positions:
P 0.0000 0.5000 0.0000  2 Pd 2.34
P 0.5000 0.0000 0.0000  2 Pd 2.34
Ir 0.0000 0.0000 0.5000  8 P 2.98, 4 O 3.31
Pd 0.5000 0.5000 0.0000  2 O 1.84
O 0.5000 0.5000 0.5000  2 Pd 1.84

Density functional theory data (PBE-GGA) for P2IrPdO after structural relaxation.

DFT total energy in eV per cell: -28.37
Uncorrected formation energy in kJ per mole of atoms: 28.2
Size of the total moment in μB/atom: 0.000
E above lowest polymorph in eV/f.u.: 0.00
DOS at the Fermi energy in states/eV/cell: 3.09
Space group: P4/mmm

Unit cell a=4.7596 b=4.7596 c=3.6522 alpha=90.00 beta=90.00 gamma=90.00
Last column: nearest neighbours and their distance in Å.
Fractional positions:
P 0.0000 0.5000 0.0000  2 Ir 2.38
P 0.5000 0.0000 0.0000  2 Ir 2.38
Ir 0.0000 0.0000 0.0000  2 O 1.83
Pd 0.5000 0.5000 0.5000  8 P 3.00
O 0.0000 0.0000 0.5000  2 Ir 1.83

Density functional theory data (PBE-GGA) for PmPIrO after structural relaxation.

DFT total energy in eV per cell: -63.47
Uncorrected formation energy in kJ per mole of atoms: -187.1
Size of the total moment in μB/atom: 0.000
DOS at the Fermi energy in states/eV/cell: 2.93
Space group: P4/nmm

Unit cell a=4.0048 b=4.0048 c=8.3238 alpha=90.00 beta=90.00 gamma=90.00
Last column: nearest neighbours and their distance in Å.
Fractional positions:
Pm 0.2500 0.2500 0.1409  4 O 2.32
Pm 0.7500 0.7500 0.8591  4 O 2.32
P 0.2500 0.2500 0.6556  4 Ir 2.38
P 0.7500 0.7500 0.3444  4 Ir 2.38
Ir 0.2500 0.7500 0.5000  4 P 2.38
Ir 0.7500 0.2500 0.5000  4 P 2.38
O 0.2500 0.7500 0.0000  4 Pm 2.32
O 0.7500 0.2500 0.0000  4 Pm 2.32